(1)
Here is a PBEsol-optimized structure of InP2Os2 from the Alexandria database. Energies are from meta-GGA SCAN.

Cell: 3.7156 3.7156 6.2582 Å, 107.27 107.27 90.00°
Element x y z (fractional)
P1 0.2500 0.7500 0.5000
P2 0.7500 0.2500 0.5000
Os1 0.3717 0.3717 0.7435
Os2 0.6283 0.6283 0.2565
In1 0.0000 0.0000 0.0000

Calculated values
- crystal system = tetragonal
- total DFT energy (no corrections) (eV per cell) = -198.402
- N(E_F) (states/eV/f.u.) = 1.759

=====

(2)
Here is a PBEsol-optimized structure of InPOs2 from the Alexandria database. Energies are from meta-GGA SCAN.

Cell: 3.9775 3.9775 4.7599 Å, 114.70 114.70 90.00°
Element x y z (fractional)
In1 0.2500 0.7500 0.5000
Os1 0.0000 0.0000 0.0000
Os2 0.7500 0.2500 0.5000
P1 0.5000 0.5000 0.0000

Calculated values
- energy above the most stable polymorph in this dataset (eV/f.u.) = 2.93
- crystal system = tetragonal
- N(E_F) (states/eV/f.u.) = 4.446

=====

(3)
Here is a PBEsol-optimized structure of InPOs2Pt from the Alexandria database. Energies are from meta-GGA SCAN.

Cell: 4.2851 4.2851 4.7631 Å, 90.00 90.00 90.00°
Element x y z (fractional)
In1 0.0000 0.0000 0.5000
Os1 0.5000 0.0000 0.0000
Os2 0.0000 0.5000 0.0000
Pt1 0.5000 0.5000 0.5000
P1 0.0000 0.0000 0.0000

Calculated values
- crystal system = tetragonal
- total DFT energy (no corrections) (eV per cell) = -252.418
- N(E_F) (states/eV/f.u.) = 3.123

=====

(4)
Here is a PBEsol-optimized structure of InOsPb from the Alexandria database. Energies are from meta-GGA SCAN.

Cell: 4.5944 4.5944 4.5944 Å, 60.00 60.00 60.00°
Element x y z (fractional)
Pb1 0.5000 0.5000 0.5000
Os1 0.0000 0.0000 0.0000
In1 0.2500 0.2500 0.2500

Calculated values
- crystal system = cubic
- total DFT energy (no corrections) (eV per cell) = -177.409
- N(E_F) (states/eV/f.u.) = 1.764

=====

(5)
Here is a PBEsol-optimized structure of In3OsPb from the Alexandria database. Energies are from meta-GGA SCAN.

Cell: 5.4924 5.4924 5.4924 Å, 90.00 90.00 90.00°
Last column: magnetic moment on the atom in μB.
Element x y z (fractional)
Pb1 0.0000 0.0000 0.0000  -0.02
Os1 0.5000 0.5000 0.5000  2.28
In1 0.0000 0.0000 0.5000  -0.06
In2 0.0000 0.5000 0.0000  -0.06
In3 0.5000 0.0000 0.0000  -0.06

Calculated values
- crystal system = cubic
- total DFT energy (no corrections) (eV per cell) = -238.824
- N(E_F) (states/eV/f.u.) = 5.379

=====

(6)
Here is a PBEsol-optimized structure of InOs3Pd from the Alexandria database. Energies are from meta-GGA SCAN.

Cell: 4.7138 4.7138 4.7138 Å, 90.00 90.00 90.00°
Last column: magnetic moment on the atom in μB.
Element x y z (fractional)
In1 0.0000 0.0000 0.0000  -0.03
Pd1 0.5000 0.5000 0.5000  0.28
Os1 0.0000 0.5000 0.0000  0.75
Os2 0.0000 0.0000 0.5000  0.75
Os3 0.5000 0.0000 0.0000  0.75

Calculated values
- crystal system = cubic
- total DFT energy (no corrections) (eV per cell) = -265.679
- N(E_F) (states/eV/f.u.) = 6.421

=====

(7)
Here is a PBEsol-optimized structure of InOsPd2Se from the Alexandria database. Energies are from meta-GGA SCAN.

Cell: 4.7229 4.7229 5.1374 Å, 90.00 90.00 90.00°
Element x y z (fractional)
In1 0.0000 0.0000 0.5000
Pd1 0.5000 0.0000 0.0000
Pd2 0.0000 0.5000 0.0000
Se1 0.5000 0.5000 0.5000
Os1 0.0000 0.0000 0.0000

Calculated values
- crystal system = tetragonal
- N(E_F) (states/eV/f.u.) = 4.342
- E_form (uncorrected) (eV/atom) = 1.060

=====

(8)
Here is a PBEsol-optimized structure of InOsPt2 from the Alexandria database. Energies are from meta-GGA SCAN.

Cell: 3.3154 3.3154 5.8118 Å, 90.00 90.00 90.00°
Element x y z (fractional)
In1 0.0000 0.0000 0.4924
Pt1 0.5000 0.5000 0.2457
Pt2 0.0000 0.0000 0.9850
Os1 0.5000 0.5000 0.7769

Calculated values
- crystal system = tetragonal
- total DFT energy (no corrections) (eV per cell) = -244.996
- N(E_F) (states/eV/f.u.) = 3.320

=====

(9)
Here is a PBEsol-optimized structure of In3OsPt from the Alexandria database. Energies are from meta-GGA SCAN.

Cell: 5.0005 5.0005 5.0005 Å, 90.00 90.00 90.00°
Last column: magnetic moment on the atom in μB.
Element x y z (fractional)
Os1 0.5000 0.5000 0.5000  2.19
In1 0.5000 0.0000 0.0000  0.02
In2 0.0000 0.0000 0.5000  0.02
In3 0.0000 0.5000 0.0000  0.02
Pt1 0.0000 0.0000 0.0000  -0.01

Calculated values
- crystal system = cubic
- total DFT energy (no corrections) (eV per cell) = -237.657
- N(E_F) (states/eV/f.u.) = 3.867

=====

(10)
Here is a PBEsol-optimized structure of RbIn3Os from the Alexandria database. Energies are from meta-GGA SCAN.

Cell: 5.1981 5.1981 5.1981 Å, 90.00 90.00 90.00°
Element x y z (fractional)
Os1 0.0000 0.0000 0.0000
In1 0.0000 0.0000 0.5000
In2 0.5000 0.0000 0.0000
In3 0.0000 0.5000 0.0000
Rb1 0.5000 0.5000 0.5000

Calculated values
- crystal system = cubic
- total DFT energy (no corrections) (eV per cell) = -193.568
- N(E_F) (states/eV/f.u.) = 0.408

=====

(11)
Here is a PBEsol-optimized structure of InReOs2 from the Alexandria database. Energies are from meta-GGA SCAN.

Cell: 2.8030 2.8030 9.2012 Å, 81.24 81.24 60.00°
Element x y z (fractional)
Os1 0.9953 0.9953 0.0142
Os2 0.2499 0.2499 0.2503
In1 0.7493 0.7493 0.7522
Re1 0.5056 0.5056 0.4833

Calculated values
- crystal system = trigonal
- total DFT energy (no corrections) (eV per cell) = -246.651
- N(E_F) (states/eV/f.u.) = 2.423

=====

(12)
Here is a PBEsol-optimized structure of InReOs2 from the Alexandria database. Energies are from meta-GGA SCAN.

Cell: 2.8116 4.7828 4.9026 Å, 99.68 90.00 107.09°
Element x y z (fractional)
Os1 0.7611 0.5222 0.7763
Os2 0.2389 0.4778 0.2237
Re1 0.5000 0.0000 0.0000
In1 0.0000 0.0000 0.5000

Calculated values
- crystal system = monoclinic
- total DFT energy (no corrections) (eV per cell) = -246.315
- N(E_F) (states/eV/f.u.) = 3.600